Record 1
NiSn3Pd12: optimized geometry, GGA-PBE.

Symmetry: P4/mmm, No. 123
Calculated density: 10.9 Mg/m³
Magnetic moment: 1.407 μB per cell
Energy of formation: -0.350 eV/atom

Cell and atoms, written as extended XYZ:
```
16
Lattice="-3.696 0.694 1.439 -1.542 -2.499 -2.755 1.644 -12.113 10.071" Properties=species:S:1:pos:R:3 pbc="T T T"
Pd -0.160 -5.751 2.365
Pd 0.681 -11.946 7.516
Pd 0.262 -8.861 4.951
Pd -2.619 -0.902 -0.658
Pd -2.217 -3.866 1.806
Pd -0.815 -7.264 7.048
Pd -1.377 -10.052 6.950
Pd -1.656 -1.069 1.897
Pd -1.237 -4.154 4.462
Pd -1.797 -6.959 4.378
Pd -0.396 -10.349 9.613
Sn 1.246 -9.182 7.634
Ni 0.000 0.000 0.000
Sn 0.822 -6.057 5.036
Pd -0.579 -2.666 -0.199
Sn 0.398 -2.931 2.437
```


Record 2
LiTm2Fe: optimized geometry, GGA-PBE.

Symmetry: P4/mmm, No. 123
Offset from the most stable computed form: 0.000 eV/atom
Calculated density: 7.6 Mg/m³
Magnetic moment: 0.000 μB per cell
Energy of formation: 0.007 eV/atom

Cell and atoms, written as extended XYZ:
```
4
Lattice="3.288 0.000 0.000 0.000 3.288 0.000 0.000 0.000 8.084" Properties=species:S:1:pos:R:3 pbc="T T T"
Li 1.644 1.644 4.042
Fe 1.644 1.644 0.000
Tm 0.000 0.000 6.500
Tm 0.000 0.000 1.584
```


Record 3
Pm3Ag3Pd2: optimized geometry, GGA-PBE.

Symmetry: P-62m, No. 189
Calculated density: 8.6 Mg/m³
Magnetic moment: 0.000 μB per cell
Energy of formation: -0.528 eV/atom

Cell and atoms, written as extended XYZ:
```
8
Lattice="-0.633 -2.679 -2.751 7.129 -2.173 0.476 -5.179 -3.210 4.318" Properties=species:S:1:pos:R:3 pbc="T T T"
Ag -1.193 -0.739 0.994
Ag 1.501 -4.144 3.690
Pd 3.026 -2.519 1.757
Pm -3.409 -3.256 1.203
Pm 0.469 -3.508 0.556
Pm 3.941 -2.637 -1.091
Ag 1.642 -0.501 0.110
Pd -1.076 -2.865 3.037
```


Q: Number 1 is which compound?
A: NiSn3Pd12


Q: What is the formula in the third record?
A: Pm3Ag3Pd2


Q: Among the records above, which one has the lowest energy of formation?
A: Pm3Ag3Pd2


Q: Which value of calculated density does entry 3 give?
A: 8.6 Mg/m³